Model one:
A PBEsol-optimized structure of Al3Ag2, computed with meta-GGA SCAN. Values from VASP.

Geometry as Quantum ESPRESSO input:
```
&SYSTEM
  ibrav = 0, nat = 10, ntyp = 2
/
ATOMIC_SPECIES
Ag 107.87 Ag.upf
Al 26.98 Al.upf
ATOMIC_POSITIONS crystal
Ag 0.249 0.750 0.761
Ag 0.751 0.250 0.239
Ag 0.845 0.744 0.555
Ag 0.155 0.256 0.445
Al 0.040 0.749 0.157
Al 0.960 0.251 0.843
Al 0.563 0.248 0.642
Al 0.437 0.752 0.358
Al 0.645 0.754 0.951
Al 0.355 0.246 0.049
CELL_PARAMETERS angstrom
4.911 -0.042 0.011
0.790 4.869 0.048
2.373 1.993 6.794
```

Properties
* symmetry: No. 2

---

Model two:
A PBEsol-optimized structure of Al3Ag2, computed with meta-GGA SCAN. Values from VASP.

Geometry as Quantum ESPRESSO input:
```
&SYSTEM
  ibrav = 0, nat = 10, ntyp = 2
/
ATOMIC_SPECIES
Al 26.98 Al.upf
Ag 107.87 Ag.upf
ATOMIC_POSITIONS crystal
Al 0.798 0.595 0.401
Al 0.698 0.396 0.094
Al 0.099 0.198 0.303
Al 0.908 0.816 0.706
Al 0.397 0.794 0.195
Al 0.200 0.400 0.604
Ag 0.496 0.992 0.493
Ag 0.600 0.201 0.797
Ag 0.302 0.604 0.896
Ag 0.003 0.005 0.012
CELL_PARAMETERS angstrom
-0.435 2.523 1.366
-5.937 -1.960 -1.351
1.124 -4.140 8.002
```

Properties
* symmetry: No. 8

---

Least stable of them? model one.

---

Model one:
A PBEsol-optimized structure of Al3Ag2, computed with meta-GGA SCAN. Values from VASP.

Geometry as Quantum ESPRESSO input:
```
&SYSTEM
  ibrav = 0, nat = 5, ntyp = 2
/
ATOMIC_SPECIES
Al 26.98 Al.upf
Ag 107.87 Ag.upf
ATOMIC_POSITIONS crystal
Al 0.402 0.301 0.895
Al 0.000 0.500 0.500
Al 0.598 0.699 0.105
Ag 0.196 0.899 0.709
Ag 0.804 0.101 0.291
CELL_PARAMETERS angstrom
-0.721 -0.353 2.944
3.945 0.120 2.563
0.148 5.849 2.319
```

Properties
* symmetry: No. 12

---

Model two:
A PBEsol-optimized structure of Al3Ag2, computed with meta-GGA SCAN. Values from VASP.

Geometry as Quantum ESPRESSO input:
```
&SYSTEM
  ibrav = 0, nat = 5, ntyp = 2
/
ATOMIC_SPECIES
Al 26.98 Al.upf
Ag 107.87 Ag.upf
ATOMIC_POSITIONS crystal
Al 0.301 0.301 0.602
Al 0.699 0.699 0.398
Al 0.500 0.500 0.000
Ag 0.098 0.098 0.196
Ag 0.902 0.902 0.804
CELL_PARAMETERS angstrom
-0.741 2.744 0.326
-1.843 -0.743 2.059
8.445 0.122 5.613
```

Properties
* symmetry: No. 139

---

Least stable of them? model two.

---

Model one:
A PBEsol-optimized structure of Al3Ag2, computed with meta-GGA SCAN. Values from VASP.

Geometry as Quantum ESPRESSO input:
```
&SYSTEM
  ibrav = 0, nat = 10, ntyp = 2
/
ATOMIC_SPECIES
Ag 107.87 Ag.upf
Al 26.98 Al.upf
ATOMIC_POSITIONS crystal
Ag 0.998 0.501 0.991
Ag 0.015 0.995 0.991
Ag 0.790 0.206 0.417
Ag 0.406 0.097 0.201
Al 0.201 0.300 0.597
Al 0.602 0.899 0.805
Al 0.200 0.798 0.596
Al 0.395 0.595 0.201
Al 0.602 0.400 0.805
Al 0.793 0.710 0.395
CELL_PARAMETERS angstrom
4.927 -0.011 0.024
1.690 5.492 -0.019
1.763 1.113 6.006
```

Properties
* symmetry: No. 1

---

Model two:
A PBEsol-optimized structure of Al3Ag2, computed with meta-GGA SCAN. Values from VASP.

Geometry as Quantum ESPRESSO input:
```
&SYSTEM
  ibrav = 0, nat = 5, ntyp = 2
/
ATOMIC_SPECIES
Al 26.98 Al.upf
Ag 107.87 Ag.upf
ATOMIC_POSITIONS crystal
Al 0.000 0.000 0.000
Al 0.200 0.200 0.399
Al 0.800 0.800 0.601
Ag 0.600 0.600 0.200
Ag 0.400 0.400 0.800
CELL_PARAMETERS angstrom
-2.567 1.262 0.647
-1.505 -0.866 2.363
3.816 7.572 7.023
```

Properties
* symmetry: No. 166

---

Least stable of them? model one.

---

Model one:
A PBEsol-optimized structure of Al3Ag2, computed with meta-GGA SCAN. Values from VASP.

Geometry as Quantum ESPRESSO input:
```
&SYSTEM
  ibrav = 0, nat = 5, ntyp = 2
/
ATOMIC_SPECIES
Al 26.98 Al.upf
Ag 107.87 Ag.upf
ATOMIC_POSITIONS crystal
Al 0.000 0.000 0.000
Al 0.199 0.199 0.398
Al 0.801 0.801 0.602
Ag 0.396 0.396 0.792
Ag 0.604 0.604 0.208
CELL_PARAMETERS angstrom
3.003 0.000 0.000
0.000 3.941 0.000
-1.501 -1.971 6.907
```

Properties
* symmetry: No. 71

---

Model two:
A PBEsol-optimized structure of Al3Ag2, computed with meta-GGA SCAN. Values from VASP.

Geometry as Quantum ESPRESSO input:
```
&SYSTEM
  ibrav = 0, nat = 5, ntyp = 2
/
ATOMIC_SPECIES
Al 26.98 Al.upf
Ag 107.87 Ag.upf
ATOMIC_POSITIONS crystal
Al 0.667 0.333 0.648
Al 0.333 0.667 0.352
Al 0.000 0.000 0.000
Ag 0.333 0.667 0.830
Ag 0.667 0.333 0.170
CELL_PARAMETERS angstrom
-0.108 -0.844 4.253
-3.556 -0.575 -2.416
1.474 -5.058 -0.966
```

Properties
* symmetry: No. 164

---

Model three:
A PBEsol-optimized structure of Al3Ag2, computed with meta-GGA SCAN. Values from VASP.

Geometry as Quantum ESPRESSO input:
```
&SYSTEM
  ibrav = 0, nat = 10, ntyp = 2
/
ATOMIC_SPECIES
Al 26.98 Al.upf
Ag 107.87 Ag.upf
ATOMIC_POSITIONS crystal
Al 0.700 0.000 0.601
Al 0.903 0.000 0.194
Al 0.402 0.500 0.197
Al 0.599 0.500 0.802
Al 0.798 0.500 0.403
Al 0.299 0.000 0.401
Ag 0.995 0.500 0.010
Ag 0.104 0.000 0.792
Ag 0.205 0.500 0.589
Ag 0.497 0.000 0.006
CELL_PARAMETERS angstrom
-1.238 -4.227 -2.088
3.882 -1.725 -2.467
1.535 -5.632 4.805
```

Properties
* symmetry: No. 5

---

Least stable of them? model one.

---

Model one:
A PBEsol-optimized structure of Al5Ag2, computed with meta-GGA SCAN. Values from VASP.

Geometry as Quantum ESPRESSO input:
```
&SYSTEM
  ibrav = 0, nat = 7, ntyp = 2
/
ATOMIC_SPECIES
Al 26.98 Al.upf
Ag 107.87 Ag.upf
ATOMIC_POSITIONS crystal
Al 0.858 0.858 0.715
Al 0.000 0.000 0.000
Al 0.285 0.285 0.570
Al 0.715 0.715 0.430
Al 0.142 0.142 0.285
Ag 0.573 0.573 0.145
Ag 0.427 0.427 0.855
CELL_PARAMETERS angstrom
-1.717 -2.219 0.271
2.807 -2.365 -1.580
3.175 0.538 9.888
```

Properties
* symmetry: No. 71

---

Model two:
A PBEsol-optimized structure of Al5Ag2, computed with meta-GGA SCAN. Values from VASP.

Geometry as Quantum ESPRESSO input:
```
&SYSTEM
  ibrav = 0, nat = 7, ntyp = 2
/
ATOMIC_SPECIES
Al 26.98 Al.upf
Ag 107.87 Ag.upf
ATOMIC_POSITIONS crystal
Al 0.357 0.357 0.928
Al 0.643 0.643 0.072
Al 0.215 0.215 0.355
Al 0.785 0.785 0.645
Al 0.500 0.500 0.500
Ag 0.929 0.929 0.212
Ag 0.071 0.071 0.788
CELL_PARAMETERS angstrom
2.898 0.000 0.000
1.449 2.509 0.000
1.449 0.836 15.600
```

Properties
* symmetry: No. 166

---

Least stable of them? model one.

---

Model one:
A PBEsol-optimized structure of Al5Ag2, computed with meta-GGA SCAN. Values from VASP.

Geometry as Quantum ESPRESSO input:
```
&SYSTEM
  ibrav = 0, nat = 7, ntyp = 2
/
ATOMIC_SPECIES
Al 26.98 Al.upf
Ag 107.87 Ag.upf
ATOMIC_POSITIONS crystal
Al 0.214 0.214 0.428
Al 0.786 0.786 0.572
Al 0.642 0.642 0.284
Al 0.500 0.500 0.000
Al 0.358 0.358 0.716
Ag 0.071 0.071 0.142
Ag 0.929 0.929 0.858
CELL_PARAMETERS angstrom
-1.810 -2.229 0.160
2.233 -1.796 0.242
-0.628 3.332 13.452
```

Properties
* symmetry: No. 139

---

Model two:
A PBEsol-optimized structure of Al5Ag2, computed with meta-GGA SCAN. Values from VASP.

Geometry as Quantum ESPRESSO input:
```
&SYSTEM
  ibrav = 0, nat = 7, ntyp = 2
/
ATOMIC_SPECIES
Al 26.98 Al.upf
Ag 107.87 Ag.upf
ATOMIC_POSITIONS crystal
Al 0.211 0.422 0.640
Al 0.789 0.578 0.360
Al 0.641 0.283 0.925
Al 0.359 0.717 0.075
Al 0.500 0.000 0.500
Ag 0.922 0.844 0.788
Ag 0.078 0.156 0.212
CELL_PARAMETERS angstrom
-0.333 3.881 0.912
-1.828 -3.017 3.396
6.064 -0.007 2.240
```

Properties
* symmetry: No. 12

---

Least stable of them? model two.

---

Model one:
A PBEsol-optimized structure of Al2Ag5, computed with meta-GGA SCAN. Values from VASP.

Geometry as Quantum ESPRESSO input:
```
&SYSTEM
  ibrav = 0, nat = 7, ntyp = 2
/
ATOMIC_SPECIES
Ag 107.87 Ag.upf
Al 26.98 Al.upf
ATOMIC_POSITIONS crystal
Ag 0.214 0.714 0.427
Ag 0.786 0.286 0.573
Ag 0.500 0.000 0.000
Ag 0.640 0.140 0.279
Ag 0.360 0.860 0.721
Al 0.926 0.426 0.853
Al 0.074 0.574 0.147
CELL_PARAMETERS angstrom
-0.282 -0.389 -2.833
2.833 -2.748 0.096
-8.175 -5.484 3.022
```

Properties
* symmetry: No. 71

---

Model two:
A PBEsol-optimized structure of Al2Ag5, computed with meta-GGA SCAN. Values from VASP.

Geometry as Quantum ESPRESSO input:
```
&SYSTEM
  ibrav = 0, nat = 7, ntyp = 2
/
ATOMIC_SPECIES
Al 26.98 Al.upf
Ag 107.87 Ag.upf
ATOMIC_POSITIONS crystal
Al 0.643 0.643 0.287
Al 0.357 0.357 0.713
Ag 0.076 0.076 0.151
Ag 0.789 0.789 0.578
Ag 0.211 0.211 0.422
Ag 0.924 0.924 0.849
Ag 0.500 0.500 0.000
CELL_PARAMETERS angstrom
-2.318 1.448 -1.062
-1.445 -2.534 -0.301
-2.894 1.820 12.845
```

Properties
* symmetry: No. 139

---

Least stable of them? model one.

---

Model one:
A PBEsol-optimized structure of Al2Ag5, computed with meta-GGA SCAN. Values from VASP.

Geometry as Quantum ESPRESSO input:
```
&SYSTEM
  ibrav = 0, nat = 7, ntyp = 2
/
ATOMIC_SPECIES
Ag 107.87 Ag.upf
Al 26.98 Al.upf
ATOMIC_POSITIONS crystal
Ag 0.000 0.000 0.000
Ag 0.426 0.426 0.722
Ag 0.574 0.574 0.278
Ag 0.142 0.142 0.574
Ag 0.858 0.858 0.426
Al 0.286 0.286 0.141
Al 0.714 0.714 0.859
CELL_PARAMETERS angstrom
2.888 0.000 0.000
1.444 2.501 0.000
1.444 0.834 15.774
```

Properties
* symmetry: No. 166

---

Model two:
A PBEsol-optimized structure of Al2Ag5, computed with meta-GGA SCAN. Values from VASP.

Geometry as Quantum ESPRESSO input:
```
&SYSTEM
  ibrav = 0, nat = 7, ntyp = 2
/
ATOMIC_SPECIES
Ag 107.87 Ag.upf
Al 26.98 Al.upf
ATOMIC_POSITIONS crystal
Ag 0.292 0.094 0.142
Ag 0.708 0.906 0.858
Ag 0.849 0.213 0.440
Ag 0.000 0.500 0.000
Ag 0.151 0.787 0.560
Al 0.419 0.348 0.714
Al 0.581 0.652 0.286
CELL_PARAMETERS angstrom
-0.827 -0.605 -4.688
4.931 -0.165 0.238
-1.082 -4.688 1.425
```

Properties
* symmetry: No. 2

---

Least stable of them? model one.